[1]
A plane-wave DFT calculation with PBE was carried out for a relaxed structure of KUTlO4.

abc: 4.368 4.368 13.804
angles: 90.00 90.00 90.00
Sites, in units of the cell vectors:
K (0.000, 0.000, 0.000)
K (0.500, 0.500, 0.500)
U (0.000, 0.000, 0.655)
U (0.500, 0.500, 0.155)
Tl (0.000, 0.000, 0.308)
Tl (0.500, 0.500, 0.808)
O (0.000, 0.000, 0.515)
O (0.000, 0.000, 0.797)
O (0.000, 0.500, 0.154)
O (0.000, 0.500, 0.654)
O (0.500, 0.000, 0.154)
O (0.500, 0.000, 0.654)
O (0.500, 0.500, 0.015)
O (0.500, 0.500, 0.297)

Calculated values
energy relative to the elements, uncorrected: -2.40 eV per atom

=====

[2]
A plane-wave DFT calculation with PBE was carried out for a relaxed structure of TaAgPdPt.

abc: 9.489 2.862 4.925
angles: 90.00 99.91 90.00
Sites, in units of the cell vectors:
Ta (0.000, 0.000, 0.000)
Ta (0.500, 0.500, 0.000)
Ag (0.242, 0.000, 0.704)
Ag (0.742, 0.500, 0.704)
Pd (0.490, 0.000, 0.488)
Pd (0.990, 0.500, 0.488)
Pt (0.246, 0.500, 0.201)
Pt (0.746, 0.000, 0.201)

Calculated values
energy of formation from the pure elements: -212 meV per atom
distance to the lowest polymorph of the same formula: 131 meV/atom

=====

[3]
A plane-wave DFT calculation with PBE was carried out for a relaxed structure of Cr3InPb.

abc: 5.297 5.297 5.297
angles: 90.00 90.00 90.00
Sites, in units of the cell vectors:
Cr (0.000, 0.000, 0.500)
Cr (0.000, 0.500, 0.000)
Cr (0.500, 0.000, 0.000)
In (0.500, 0.500, 0.500)
Pb (0.000, 0.000, 0.000)

Calculated values
energy of formation from the pure elements: 1383 meV per atom
distance to the lowest polymorph of the same formula: 56 meV/atom

=====

[4]
A plane-wave DFT calculation with PBE was carried out for a relaxed structure of SnOs2NO.

abc: 5.091 5.091 3.990
angles: 90.00 90.00 90.00
Sites, in units of the cell vectors:
Sn (0.000, 0.000, 0.000)
Os (0.000, 0.500, 0.000)
Os (0.500, 0.000, 0.000)
N (0.000, 0.000, 0.500)
O (0.500, 0.500, 0.500)

Calculated values
energy relative to the elements, uncorrected: 3.05 eV per atom

=====

[5]
A plane-wave DFT calculation with PBE was carried out for a relaxed structure of TcSnSb2H.

abc: 5.703 5.703 5.215
angles: 90.00 90.00 90.00
Sites, in units of the cell vectors:
Tc (0.000, 0.000, 0.000)
Sn (0.000, 0.000, 0.500)
Sb (0.000, 0.500, 0.500)
Sb (0.500, 0.000, 0.500)
H (0.500, 0.500, 0.000)

Calculated values
E_tot: -3.52 eV per atom

=====

[6]
A plane-wave DFT calculation with PBE was carried out for a relaxed structure of ScBiS2.

abc: 6.635 6.635 10.463
angles: 90.00 90.00 90.00
Sites, in units of the cell vectors:
Sc (0.000, 0.000, 0.000)
Sc (0.000, 0.500, 0.250)
Sc (0.500, 0.000, 0.750)
Sc (0.500, 0.500, 0.500)
Bi (0.000, 0.000, 0.500)
Bi (0.000, 0.500, 0.750)
Bi (0.500, 0.000, 0.250)
Bi (0.500, 0.500, 0.000)
S (0.188, 0.250, 0.125)
S (0.250, 0.688, 0.375)
S (0.250, 0.812, 0.875)
S (0.312, 0.250, 0.625)
S (0.688, 0.750, 0.625)
S (0.750, 0.188, 0.875)
S (0.750, 0.312, 0.375)
S (0.812, 0.750, 0.125)

Calculated values
energy relative to the elements, uncorrected: -0.73 eV per atom